[1]
# Zn3TeRh

A relaxed structure of Zn3TeRh (GGA-PBEsol, the Alexandria database).

Computed properties:
Uncorrected formation energy, eV per atom: 1.3365

abc: 4.961 4.961 4.961
angles: 90.00 90.00 90.00
Atoms (fractional coordinates):
Zn 0.000 0.500 0.000
Zn 0.000 0.000 0.500
Zn 0.500 0.000 0.000
Te 0.000 0.000 0.000
Rh 0.500 0.500 0.500

[2]
# As3Ru

A relaxed structure of As3Ru (GGA-PBEsol, the Alexandria database).

Computed properties:
E_form, eV per atom: 0.152
Offset from the most stable computed form, eV/f.u.: 0.00

abc: 2.954 4.274 6.085
angles: 110.56 104.05 90.00
Atoms (fractional coordinates):
Ru 0.000 0.500 0.000
As 0.690 0.690 0.380
As 0.310 0.310 0.620
As 0.500 0.000 0.000

[3]
# HfSIO2

A relaxed structure of HfSIO2 (GGA-PBEsol, the Alexandria database).

Computed properties:
Uncorrected formation energy, eV per atom: 0.3550

abc: 3.885 3.885 5.406
angles: 90.00 90.00 90.00
Atoms (fractional coordinates):
I 0.000 0.000 0.500
S 0.000 0.000 0.000
Hf 0.500 0.500 0.500
O 0.000 0.500 0.000
O 0.500 0.000 0.000

[4]
# CaGa2Cu3Ru2O12

A relaxed structure of CaGa2Cu3Ru2O12 (GGA-PBEsol, the Alexandria database).

Computed properties:
Uncorrected formation energy, eV per atom: -1.3103

abc: 6.342 6.342 6.365
angles: 109.10 109.04 110.13
Atoms (fractional coordinates):
Ca 0.000 0.000 0.000
Ga 0.000 0.000 0.500
Ga 0.500 0.500 0.500
Cu 0.500 0.500 0.000
Cu 0.500 0.000 0.500
Cu 0.000 0.500 0.500
Ru 0.500 0.000 0.000
Ru 0.000 0.500 0.000
O 0.171 0.305 0.476
O 0.829 0.695 0.524
O 0.176 0.691 0.866
O 0.824 0.309 0.134
O 0.310 0.136 0.832
O 0.690 0.864 0.168
O 0.695 0.522 0.832
O 0.305 0.478 0.168
O 0.515 0.829 0.694
O 0.485 0.171 0.306
O 0.135 0.821 0.306
O 0.865 0.179 0.694

[5]
# CaCrPt2

A relaxed structure of CaCrPt2 (GGA-PBEsol, the Alexandria database).

Computed properties:
E_form, eV per atom: -0.194
Offset from the most stable computed form, eV/f.u.: 0.53

abc: 4.581 4.581 4.581
angles: 60.00 60.00 60.00
Atoms (fractional coordinates):
Cr 0.500 0.500 0.500
Ca 0.000 0.000 0.000
Pt 0.250 0.250 0.250
Pt 0.750 0.750 0.750

[6]
# HoCu

A relaxed structure of HoCu (GGA-PBEsol, the Alexandria database).

Computed properties:
E_form, eV per atom: -0.248

abc: 3.389 3.389 3.389
angles: 90.00 90.00 90.00
Atoms (fractional coordinates):
Ho 0.000 0.000 0.000
Cu 0.500 0.500 0.500

no.,density (Mg/m³),E (eV/atom)
1,5.80,-1.9456
2,7.79,-6.2207
3,7.52,-5.0755
4,6.43,-6.5679
5,11.78,-6.7697
6,9.75,-4.8905